No. 1
# KCu4

A relaxed KCu4 crystal (GGA-PBE, Alexandria).

Cell and atoms, written as CIF:
```
data_KCu4
_cell_length_a 6.115
_cell_length_b 6.115
_cell_length_c 6.115
_cell_angle_alpha 90.00
_cell_angle_beta 90.00
_cell_angle_gamma 90.00
_symmetry_space_group_name_H-M 'I m -3 m'
_symmetry_Int_Tables_number 229
_symmetry_space_group_name_Hall '-I 4 2 3'
loop_
_atom_site_label
_atom_site_fract_x
_atom_site_fract_y
_atom_site_fract_z
K1 0.000 0.000 0.000
Cu1 0.250 0.250 0.250
```

Calculated values
energy	-1.991	eV per atom
density of states at the Fermi level	0.451	states/eV/atom

No. 2
# PaGaAgI6

A relaxed PaGaAgI6 crystal (GGA-PBE, Alexandria).

Cell and atoms, written as CIF:
```
data_PaGaAgI6
_cell_length_a 7.6947
_cell_length_b 7.6947
_cell_length_c 14.8065
_cell_angle_alpha 90.00
_cell_angle_beta 90.00
_cell_angle_gamma 120.00
_symmetry_space_group_name_H-M 'P -3 1 c'
_symmetry_Int_Tables_number 163
_symmetry_space_group_name_Hall '-P 3 2c'
loop_
_atom_site_label
_atom_site_fract_x
_atom_site_fract_y
_atom_site_fract_z
Pa1 0.3333 0.6667 0.2500
Ga1 0.0000 0.0000 0.0000
Ag1 0.3333 0.6667 0.7500
I1 0.0039 0.3513 0.1303
```

Calculated values
energy relative to the elements, uncorrected	-5.76	eV per formula unit
density of states at the Fermi level	0.086	states/eV/atom